Entry 1:
## PmSm12Ho5 (PBE)

Data for an optimized crystal structure of PmSm12Ho5.

The structure belongs to space group Cmmm (No. 65); the cell edges are 15.260, 15.277 and 5.094 Å and the angles 90.00°, 90.00° and 90.00°. The distinct sites, in fractional coordinates, are Pm at (0.000, 0.000, 0.000), Sm at (0.165, 0.334, 0.500), Sm at (0.165, 0.500, 0.000), Sm at (0.166, 0.167, 0.000), Sm at (0.167, 0.000, 0.500), Ho at (0.000, 0.168, 0.500), Ho at (0.000, 0.333, 0.000) and Ho at (0.000, 0.500, 0.500).

As for the calculated volume: 1187.48 Å³/cell. Its crystal system is orthorhombic. The total magnetization is 0.0 μB/f.u. The calculation puts the formation energy at 0.0174 eV/atom.


Entry 2:
## LiInCu2F8 (PBE)

Data for an optimized crystal structure of LiInCu2F8.

The structure belongs to space group I-4 (No. 82); the cell edges are 5.264, 5.264 and 10.324 Å and the angles 90.00°, 90.00° and 90.00°. The distinct sites, in fractional coordinates, are Li at (0.000, 0.000, 0.000), In at (0.000, 0.500, 0.250), Cu at (0.000, 0.000, 0.500), Cu at (0.000, 0.500, 0.750), F at (0.166, 0.300, 0.433) and F at (0.175, 0.792, 0.813).

As for the calculated volume: 286.05 Å³/cell. Its crystal system is tetragonal. The total magnetization is 2.0 μB/f.u. The value obtained for the uncorrected energy is -4.31 eV per atom.


Entry 3:
## Y2TiC (PBE)

Data for an optimized crystal structure of Y2TiC.

The structure belongs to space group R-3m (No. 166, hexagonal axes); the cell edges are 3.4694, 3.4694 and 26.8297 Å and the angles 90.00°, 90.00° and 120.00°. The distinct sites, in fractional coordinates, are Y at (0.0000, 0.0000, 0.1155), Ti at (0.0000, 0.0000, 0.0000) and C at (0.0000, 0.0000, 0.5000).

As for the calculated volume: 279.68 Å³/cell. Its crystal system is trigonal. The total magnetization is 1.9 μB/f.u. The calculation puts the formation energy at 0.2213 eV/atom.


Entry 4:
## GeBi2TeAu (PBE)

Data for an optimized crystal structure of GeBi2TeAu.

The structure belongs to space group P4/mmm (No. 123); the cell edges are 5.783, 5.783 and 4.723 Å and the angles 90.00°, 90.00° and 90.00°. The distinct sites, in fractional coordinates, are Ge at (0.000, 0.000, 0.000), Bi at (0.000, 0.500, 0.500), Te at (0.500, 0.500, 0.000) and Au at (0.000, 0.000, 0.500).

As for the calculated volume: 157.94 Å³/cell. Its crystal system is tetragonal. The total magnetization is 0.0 μB/f.u. The value obtained for the uncorrected energy is -3.35 eV per atom.


Entry 5:
## HgAsP2 (PBE)

Data for an optimized crystal structure of HgAsP2.

The structure belongs to space group F-43m (No. 216); the cell edges are 6.670, 6.670 and 6.670 Å and the angles 90.00°, 90.00° and 90.00°. The distinct sites, in fractional coordinates, are Hg at (0.000, 0.000, 0.000), As at (0.250, 0.250, 0.750), P at (0.000, 0.000, 0.500) and P at (0.250, 0.250, 0.250).

As for the calculated volume: 296.71 Å³/cell. Its crystal system is cubic. The total magnetization is 0.0 μB/f.u. The calculation puts the energy above the most stable polymorph in this dataset at 551 meV per atom. The calculation puts the formation energy at 0.7286 eV/atom.


Entry 6:
## ScVC3 (PBE)

Data for an optimized crystal structure of ScVC3.

The structure belongs to space group Pm-3m (No. 221); the cell edges are 3.862, 3.862 and 3.862 Å and the angles 90.00°, 90.00° and 90.00°. The distinct sites, in fractional coordinates, are Sc at (0.000, 0.000, 0.000), V at (0.500, 0.500, 0.500) and C at (0.000, 0.500, 0.500).

As for the calculated volume: 57.59 Å³/cell. Its crystal system is cubic. The total magnetization is 0.0 μB/f.u. The calculation puts the energy above the most stable polymorph in this dataset at 0 meV per atom. The calculation puts the formation energy at 0.8899 eV/atom.